# PBE-GGA Mn2AlAgPd, optimized geometry
data_Mn2AlAgPd
_space_group_name_H-M_alt 'P 1'
_space_group_IT_number 1
_space_group_name_Hall 'P 1'
_cell_length_a 4.870
_cell_length_b 4.656
_cell_length_c 4.870
_cell_angle_alpha 90.00
_cell_angle_beta 90.00
_cell_angle_gamma 90.00
loop_
_atom_site_label
_atom_site_type_symbol
_atom_site_fract_x
_atom_site_fract_y
_atom_site_fract_z
Mn1 Mn 0.000 0.000 0.500
Mn2 Mn 0.500 0.000 0.000
Pd1 Pd 0.500 0.500 0.500
Ag1 Ag 0.000 0.000 0.000
Al1 Al 0.000 0.500 0.000
# Magnetic moment, μB/f.u.: 8.763
# E_form, eV/f.u.: 4.78
# DOS at the Fermi energy, states/eV per atom: 0.778
# ρ, kg/m3: 5281
# VASP energy, Ry/atom: -0.373
# Space-group type: P4/mmm, No. 123


# PBE-GGA AcLaPBr, optimized geometry
data_AcLaPBr
_space_group_name_H-M_alt 'P 1'
_space_group_IT_number 1
_space_group_name_Hall 'P 1'
_cell_length_a 4.245
_cell_length_b 4.245
_cell_length_c 8.267
_cell_angle_alpha 90.00
_cell_angle_beta 104.87
_cell_angle_gamma 120.00
loop_
_atom_site_label
_atom_site_type_symbol
_atom_site_fract_x
_atom_site_fract_y
_atom_site_fract_z
Ac1 Ac 0.498 0.147 0.660
La1 La 0.107 0.951 0.073
P1 P 0.313 0.554 0.882
Br1 Br 0.961 0.378 0.354
# Magnetic moment, μB/f.u.: 0.000
# DOS at the Fermi energy, states/eV per atom: 0.368
# ρ, kg/m3: 6425
# VASP energy, Ry/atom: -0.407
# Space-group type: R3m, No. 160


# PBE-GGA MgZn2Te3, optimized geometry
data_MgZn2Te3
_space_group_name_H-M_alt 'P 1'
_space_group_IT_number 1
_space_group_name_Hall 'P 1'
_cell_length_a 7.716
_cell_length_b 7.716
_cell_length_c 7.684
_cell_angle_alpha 99.50
_cell_angle_beta 99.50
_cell_angle_gamma 120.14
loop_
_atom_site_label
_atom_site_type_symbol
_atom_site_fract_x
_atom_site_fract_y
_atom_site_fract_z
Mg1 Mg 0.098 0.927 0.508
Mg2 Mg 0.927 0.098 0.008
Zn1 Zn 0.594 0.429 0.007
Zn2 Zn 0.759 0.265 0.507
Zn3 Zn 0.429 0.594 0.507
Zn4 Zn 0.265 0.759 0.007
Te1 Te 0.054 0.233 0.393
Te2 Te 0.233 0.054 0.893
Te3 Te 0.884 0.399 0.879
Te4 Te 0.399 0.884 0.379
Te5 Te 0.543 0.708 0.878
Te6 Te 0.708 0.543 0.378
# Magnetic moment, μB/f.u.: 0.000
# ρ, kg/m3: 4784
# VASP energy, Ry/atom: -0.210
# Space-group type: Cc, No. 9


# PBE-GGA SrAuI2N, optimized geometry
data_SrAuI2N
_space_group_name_H-M_alt 'P 1'
_space_group_IT_number 1
_space_group_name_Hall 'P 1'
_cell_length_a 6.241
_cell_length_b 6.241
_cell_length_c 3.888
_cell_angle_alpha 90.00
_cell_angle_beta 90.00
_cell_angle_gamma 90.00
loop_
_atom_site_label
_atom_site_type_symbol
_atom_site_fract_x
_atom_site_fract_y
_atom_site_fract_z
I1 I 0.000 0.500 0.000
I2 I 0.500 0.000 0.000
Sr1 Sr 0.500 0.500 0.500
Au1 Au 0.000 0.000 0.000
N1 N 0.000 0.000 0.500
# Magnetic moment, μB/f.u.: 0.000
# DOS at the Fermi energy, states/eV per atom: 0.779
# ρ, kg/m3: 6057
# VASP energy, Ry/atom: -0.238
# Space-group type: P4/mmm, No. 123